Entry 1:
Material: La2Pr3Ge2
Method: DFT, PBE
State: optimized geometry

Results
- Energy relative to the elements: -3.58 eV/f.u.
- Density of states at the Fermi level: 8.036 states/eV/f.u.
- Crystal system: monoclinic

Cell: 4.3620 6.5192 8.9863 Å, 103.51 104.05 109.55°
Fractional positions:
La (0.6585, 0.5053, 0.8118)
La (0.3415, 0.4947, 0.1882)
Pr (0.5000, 0.0000, 0.0000)
Pr (0.1846, 0.8154, 0.5537)
Pr (0.8154, 0.1846, 0.4463)
Ge (0.0393, 0.8717, 0.2069)
Ge (0.9607, 0.1283, 0.7931)


Entry 2:
Material: La2PrGe
Method: DFT, PBE
State: optimized geometry

Results
- Energy relative to the elements: -1.51 eV/f.u.
- Offset from the most stable computed form: 91 meV/atom
- Density of states at the Fermi level: 4.624 states/eV/f.u.
- Crystal system: tetragonal

Cell: 4.9443 4.8459 4.8459 Å, 90.00 90.00 90.00°
Fractional positions:
Pr (0.5000, 0.5000, 0.5000)
Ge (0.5000, 0.0000, 0.0000)
La (0.0000, 0.0000, 0.5000)
La (0.0000, 0.5000, 0.0000)


Entry 3:
Material: LaPrGe2Pt5
Method: DFT, PBE
State: optimized geometry

Results
- Energy relative to the elements: -8.16 eV/f.u.
- Density of states at the Fermi level: 3.667 states/eV/f.u.
- Crystal system: tetragonal

Cell: 4.4113 4.4113 9.0044 Å, 90.00 90.00 90.00°
Fractional positions:
La (0.0000, 0.0000, 0.0000)
Pr (0.0000, 0.0000, 0.5000)
Ge (0.5000, 0.5000, 0.1420)
Ge (0.5000, 0.5000, 0.8580)
Pt (0.0000, 0.5000, 0.2712)
Pt (0.5000, 0.0000, 0.2712)
Pt (0.0000, 0.5000, 0.7288)
Pt (0.5000, 0.0000, 0.7288)
Pt (0.5000, 0.5000, 0.5000)


For the records above, the corresponding total moment values read 0.00 0.00 0.00 μB/f.u..